Record 1
KBaScI6 | PBE | relaxed

Cell and atoms, written as extended XYZ:
```
18
Lattice="8.373 0.000 0.000 -4.186 7.251 0.000 0.000 0.000 14.657" Properties=species:S:1:pos:R:3 pbc="T T T"
I -1.158 6.892 9.276
I 3.029 0.359 1.947
I 1.203 2.803 12.710
I -2.361 4.808 12.710
I 1.826 2.443 5.381
I 6.547 2.443 1.947
I -1.203 2.803 9.276
Sc 4.186 2.417 3.664
I 2.361 4.808 9.276
I 2.983 4.448 1.947
Ba 0.000 4.834 3.664
K 0.000 0.000 0.000
K 0.000 0.000 7.329
Sc 0.000 4.834 10.993
I 5.389 4.448 5.381
I 5.344 0.359 5.381
Ba 4.186 2.417 10.993
I 1.158 6.892 12.710
```

Properties
* calculated total energy: -3.526 eV/atom
* volume: 889.9 Å³ per cell
* energy relative to the elements, uncorrected: -1453 meV per atom

Record 2
Sr2HfPd2 | PBE | relaxed

Cell and atoms, written as extended XYZ:
```
10
Lattice="8.789 0.000 0.000 0.000 8.789 0.000 0.000 0.000 3.191" Properties=species:S:1:pos:R:3 pbc="T T T"
Hf 4.395 4.395 0.000
Sr 1.190 3.205 0.000
Sr 5.585 1.190 0.000
Sr 3.205 7.599 0.000
Pd 1.493 5.888 1.595
Hf 0.000 0.000 0.000
Pd 2.901 1.493 1.595
Pd 7.296 2.901 1.595
Pd 5.888 7.296 1.595
Sr 7.599 5.585 0.000
```

Properties
* calculated total energy: -4.617 eV/atom
* energy of formation: 124 meV per atom
* volume: 246.5 Å³ per cell
* relative energy among the computed polymorphs: 0 meV/atom

Record 3
MoPbAu2 | PBE | relaxed

Cell and atoms, written as extended XYZ:
```
4
Lattice="-2.522 1.407 0.816 -1.592 -1.815 -1.788 -2.735 -7.705 4.838" Properties=species:S:1:pos:R:3 pbc="T T T"
Au -2.096 -4.508 1.297
Mo -2.343 -1.676 1.170
Au -1.659 -2.067 -1.560
Pb -4.506 -6.437 2.695
```

Properties
* calculated total energy: -4.996 eV/atom
* energy of formation: 278 meV per atom
* volume: 80.6 Å³ per cell

Record 4
La6YHo5 | PBE | relaxed

Cell and atoms, written as extended XYZ:
```
12
Lattice="-4.099 -4.606 -0.655 1.059 -1.949 7.079 -6.284 5.804 2.538" Properties=species:S:1:pos:R:3 pbc="T T T"
La -2.520 0.685 2.518
La -1.993 -0.285 6.042
La -7.331 -0.466 2.921
La -1.783 -2.794 1.457
La -6.804 -1.436 6.444
Ho -4.297 -2.110 3.949
Ho -4.500 0.380 8.552
Ho -4.824 -1.131 0.411
Ho 0.530 -0.974 3.539
La -7.542 2.043 7.505
Y 0.000 0.000 0.000
Ho -5.027 1.360 5.013
```

Properties
* calculated total energy: -4.885 eV/atom
* energy of formation: 24 meV per atom
* volume: 410.0 Å³ per cell

Record 5
Mg2MnCo | PBE | relaxed

Cell and atoms, written as extended XYZ:
```
8
Lattice="6.919 0.000 0.000 0.000 6.919 0.000 3.459 3.459 2.589" Properties=species:S:1:pos:R:3 pbc="T T T"
Mg 5.275 1.730 0.647
Mg 5.189 5.103 1.942
Mn 3.459 3.459 0.000
Mg 8.648 8.734 1.942
Mn 3.459 6.919 1.295
Mg 1.644 5.189 0.647
Co 0.000 0.000 0.000
Co 6.919 3.459 1.295
```

Properties
* calculated total energy: -3.986 eV/atom
* energy of formation: 880 meV per atom
* volume: 123.9 Å³ per cell
* relative energy among the computed polymorphs: 797 meV/atom

Record 6
Ac2Pm2Sm5 | PBE | relaxed

Cell and atoms, written as extended XYZ:
```
9
Lattice="3.606 0.000 -0.744 0.955 11.275 4.628 0.148 4.217 9.828" Properties=species:S:1:pos:R:3 pbc="T T T"
Pm 3.058 3.001 5.712
Sm 0.753 4.714 3.651
Sm 3.955 10.777 10.061
Pm 1.650 12.491 8.000
Sm 1.404 6.082 6.808
Ac 2.620 7.973 3.591
Ac 2.088 7.519 10.121
Sm 3.303 9.410 6.904
Sm 0.000 0.000 0.000
```

Properties
* calculated total energy: -4.542 eV/atom
* energy of formation: 48 meV per atom
* volume: 327.4 Å³ per cell

Record 7
Ac12CdIn4N3 | PBE | relaxed

Cell and atoms, written as extended XYZ:
```
20
Lattice="-4.086 3.339 -8.009 -1.842 -9.372 0.861 -3.554 4.667 7.587" Properties=species:S:1:pos:R:3 pbc="T T T"
N -3.820 4.003 -0.211
In -2.043 1.669 -4.004
Ac -1.494 -1.302 2.338
Ac -2.114 2.216 -0.117
Ac -4.287 -4.364 -5.170
In -1.777 2.333 3.794
N -2.698 -2.353 4.224
Ac -5.169 2.826 1.901
Cd 0.000 0.000 0.000
N -2.964 -3.017 -3.574
Ac -1.641 -1.670 -1.978
Ac -4.180 -3.861 2.437
Ac -3.903 -3.403 6.110
Ac -5.526 5.790 -0.305
Ac -4.874 -1.015 -3.679
Ac -4.313 -4.193 -1.462
Ac -4.608 -0.351 4.119
In -4.741 -0.683 0.220
Ac -5.302 2.494 -1.998
In -0.921 -4.686 0.430
```

Properties
* calculated total energy: -4.730 eV/atom
* volume: 679.0 Å³ per cell
* energy relative to the elements, uncorrected: -422 meV per atom

Record 8
Ba2Cd2In | PBE | relaxed

Cell and atoms, written as extended XYZ:
```
10
Lattice="8.548 0.000 0.000 0.000 8.548 0.000 0.000 0.000 5.006" Properties=species:S:1:pos:R:3 pbc="T T T"
In 4.274 4.274 0.000
Ba 1.563 5.836 2.503
Cd 1.036 3.238 0.000
Ba 6.985 2.711 2.503
In 0.000 0.000 0.000
Ba 2.711 1.563 2.503
Ba 5.836 6.985 2.503
Cd 3.238 7.511 0.000
Cd 7.511 5.310 0.000
Cd 5.310 1.036 0.000
```

Properties
* calculated total energy: -1.958 eV/atom
* energy of formation: -275 meV per atom
* volume: 365.8 Å³ per cell
* relative energy among the computed polymorphs: 75 meV/atom

Record 9
AgAs3F | PBE | relaxed

Cell and atoms, written as extended XYZ:
```
5
Lattice="-0.147 -4.285 2.598 -2.481 -2.196 -3.762 4.354 -1.396 -2.056" Properties=species:S:1:pos:R:3 pbc="T T T"
Ag 0.000 0.000 0.000
F 0.863 -3.938 -1.610
As -1.240 -1.098 -1.881
As -0.073 -2.143 1.299
As 2.177 -0.698 -1.028
```

Properties
* calculated total energy: -2.966 eV/atom
* volume: 126.0 Å³ per cell
* relative energy among the computed polymorphs: 372 meV/atom
* energy relative to the elements, uncorrected: 768 meV per atom

Record 10
Ti4ZnIr2 | PBE | relaxed

Cell and atoms, written as extended XYZ:
```
7
Lattice="-3.460 0.100 2.672 0.585 0.104 4.332 -0.892 7.084 2.157" Properties=species:S:1:pos:R:3 pbc="T T T"
Ti -1.906 1.187 4.642
Ir -2.824 5.547 6.868
Zn 0.000 0.000 0.000
Ti -0.918 4.333 2.227
Ti -2.849 2.955 6.934
Ir -0.942 1.742 2.292
Ti -1.860 6.101 4.518
```

Properties
* calculated total energy: -7.750 eV/atom
* energy of formation: -525 meV per atom
* volume: 116.2 Å³ per cell
* relative energy among the computed polymorphs: 0 meV/atom

Record 11
Nd2Y2Er15 | PBE | relaxed

Cell and atoms, written as extended XYZ:
```
19
Lattice="6.591 -5.612 -0.631 6.591 5.612 -0.631 2.664 0.000 8.261" Properties=species:S:1:pos:R:3 pbc="T T T"
Y 14.247 0.000 6.293
Y 1.599 0.000 0.706
Nd 5.223 0.000 2.307
Er 8.773 0.000 0.429
Er 8.984 -2.730 2.245
Er 5.415 3.932 2.031
Er 3.296 -2.806 -0.315
Er 8.984 2.730 2.245
Er 6.591 2.252 -0.631
Er 3.296 2.806 -0.315
Nd 10.623 0.000 4.693
Er 6.863 -2.730 4.755
Er 3.840 1.680 5.599
Er 3.840 -1.680 5.599
Er 1.332 0.000 4.130
Er 6.863 2.730 4.755
Er 7.073 0.000 6.571
Er 6.591 -2.252 -0.631
Er 5.415 -3.932 2.031
```

Properties
* calculated total energy: -4.507 eV/atom
* energy of formation: 278 meV per atom
* volume: 630.0 Å³ per cell

Record 12
La6Rh2N | PBE | relaxed

Cell and atoms, written as extended XYZ:
```
18
Lattice="-6.382 -1.936 0.126 1.451 -4.411 5.749 -2.073 7.649 6.393" Properties=species:S:1:pos:R:3 pbc="T T T"
La -5.210 -1.306 6.861
N -1.037 3.825 3.196
La -4.949 2.620 7.577
La -1.794 2.608 5.407
Rh -4.261 4.444 5.516
La -5.030 1.282 3.807
La -4.124 -1.648 1.574
Rh -0.999 2.900 8.258
La -1.974 0.020 8.461
La -4.380 -4.009 4.333
La -2.880 2.950 10.693
La -1.315 1.567 1.967
La -2.624 5.311 7.935
Rh -2.743 -3.142 6.752
La -5.690 -0.265 10.300
Rh -6.005 -1.598 4.010
La -2.055 -1.318 4.691
N -2.465 -3.174 2.937
```

Properties
* calculated total energy: -6.532 eV/atom
* volume: 501.9 Å³ per cell
* energy relative to the elements, uncorrected: -689 meV per atom

Record 13
Pu2CdIn8 | PBE | relaxed

Cell and atoms, written as extended XYZ:
```
11
Lattice="4.829 0.000 0.000 0.000 4.829 0.000 0.000 0.000 12.268" Properties=species:S:1:pos:R:3 pbc="T T T"
In 2.414 2.414 3.879
In 0.000 2.414 6.134
Pu 0.000 0.000 8.409
In 0.000 2.414 1.721
Cd 0.000 0.000 0.000
Pu 0.000 0.000 3.859
In 0.000 2.414 10.547
In 2.414 2.414 8.388
In 2.414 0.000 1.721
In 2.414 0.000 6.134
In 2.414 0.000 10.547
```

Properties
* calculated total energy: -4.814 eV/atom
* energy of formation: -133 meV per atom
* volume: 286.0 Å³ per cell

Record 14
SrNd3Pd | PBE | relaxed

Cell and atoms, written as extended XYZ:
```
5
Lattice="-3.017 0.977 4.813 4.750 -0.853 3.151 1.246 5.616 -0.358" Properties=species:S:1:pos:R:3 pbc="T T T"
Pd 0.000 0.000 0.000
Nd -1.509 0.488 2.406
Nd 0.623 2.808 -0.179
Nd 2.375 -0.426 1.575
Sr 1.490 2.870 3.803
```

Properties
* calculated total energy: -4.354 eV/atom
* energy of formation: -119 meV per atom
* volume: 191.5 Å³ per cell

Record 15
Ti2HgPH | PBE | relaxed

Cell and atoms, written as extended XYZ:
```
5
Lattice="3.983 0.000 0.000 0.000 4.448 0.000 0.000 0.000 3.983" Properties=species:S:1:pos:R:3 pbc="T T T"
Hg 1.992 2.224 1.992
P 0.000 2.224 0.000
H 0.000 0.000 0.000
Ti 1.992 0.000 0.000
Ti 0.000 0.000 1.992
```

Properties
* calculated total energy: -4.974 eV/atom
* volume: 70.6 Å³ per cell

Record 16
AlTc | PBE | relaxed

Cell and atoms, written as extended XYZ:
```
12
Lattice="3.068 0.000 0.000 0.000 12.910 0.000 0.000 0.000 4.357" Properties=species:S:1:pos:R:3 pbc="T T T"
Tc 0.000 8.503 3.469
Tc 0.000 2.048 1.290
Al 1.534 0.000 0.690
Al 1.534 8.710 1.285
Tc 0.000 0.000 2.884
Al 1.534 2.255 3.463
Tc 0.000 10.862 1.290
Al 1.534 10.655 3.463
Al 1.534 4.200 1.285
Tc 0.000 6.455 0.705
Al 1.534 6.455 2.868
Tc 0.000 4.407 3.469
```

Properties
* calculated total energy: -7.352 eV/atom
* energy of formation: -297 meV per atom
* volume: 172.6 Å³ per cell
* relative energy among the computed polymorphs: 115 meV/atom

Record 17
SmHgO | PBE | relaxed

Cell and atoms, written as extended XYZ:
```
6
Lattice="4.005 0.000 -0.001 0.000 4.005 0.001 0.001 -0.001 7.988" Properties=species:S:1:pos:R:3 pbc="T T T"
O 3.004 3.003 3.994
Hg 3.004 1.001 0.732
Sm 3.004 1.001 5.128
Sm 1.001 3.003 2.860
Hg 1.002 3.003 7.256
O 1.002 1.001 3.994
```

Properties
* calculated total energy: -5.419 eV/atom
* volume: 128.1 Å³ per cell
* relative energy among the computed polymorphs: 0 meV/atom
* energy relative to the elements, uncorrected: -2093 meV per atom

Record 18
PrGePd3 | PBE | relaxed

Cell and atoms, written as extended XYZ:
```
20
Lattice="6.243 0.000 0.000 -3.121 5.406 0.000 0.000 0.000 12.002" Properties=species:S:1:pos:R:3 pbc="T T T"
Pd 0.000 1.529 9.002
Ge 0.000 3.604 10.345
Pr 0.000 0.000 0.000
Pr 0.000 0.000 6.001
Ge 3.121 1.802 4.344
Pd -1.798 4.642 9.002
Pd 3.121 3.878 3.001
Pr 3.121 1.802 9.002
Ge 0.000 3.604 7.658
Pd 3.121 0.000 0.000
Pd -1.561 2.703 0.000
Ge 3.121 1.802 1.657
Pd 1.561 2.703 6.001
Pd 1.561 2.703 0.000
Pd -1.561 2.703 6.001
Pd 3.121 0.000 6.001
Pd 1.798 4.642 9.002
Pr 0.000 3.604 3.001
Pd 1.324 0.764 3.001
Pd 4.919 0.764 3.001
```

Properties
* calculated total energy: -5.603 eV/atom
* energy of formation: -608 meV per atom
* volume: 405.1 Å³ per cell
* relative energy among the computed polymorphs: 68 meV/atom

Record 19
AcPm14Pr | PBE | relaxed

Cell and atoms, written as extended XYZ:
```
16
Lattice="7.408 -0.100 0.000 -3.608 6.471 0.000 0.000 0.000 11.910" Properties=species:S:1:pos:R:3 pbc="T T T"
Pm 0.026 2.141 5.955
Pm 1.872 1.055 8.882
Pm 3.739 2.088 5.955
Pm -1.771 5.375 5.955
Pr 3.727 2.096 0.000
Pm 0.075 4.274 8.895
Ac -1.782 5.382 0.000
Pm 3.761 4.222 3.028
Pm 0.038 2.148 0.000
Pm 1.872 1.055 3.028
Pm 0.075 4.274 3.015
Pm 1.928 5.316 0.000
Pm 1.928 5.330 5.955
Pm 5.576 0.992 2.986
Pm 5.576 0.992 8.924
Pm 3.761 4.222 8.882
```

Properties
* calculated total energy: -4.674 eV/atom
* energy of formation: 38 meV per atom
* volume: 566.6 Å³ per cell

Record 20
ScTaSe2N | PBE | relaxed

Cell and atoms, written as extended XYZ:
```
5
Lattice="-3.212 1.765 3.529 -3.078 -3.968 -0.817 1.859 -1.996 2.691" Properties=species:S:1:pos:R:3 pbc="T T T"
Sc 0.000 0.000 0.000
Se -1.606 0.883 1.765
Ta -2.216 -2.100 2.701
N 0.930 -0.998 1.345
Se -1.539 -1.984 -0.409
```

Properties
* calculated total energy: -6.232 eV/atom
* volume: 99.2 Å³ per cell
* relative energy among the computed polymorphs: 976 meV/atom
* energy relative to the elements, uncorrected: 463 meV per atom

Record 21
Cr2MoRh | PBE | relaxed

Cell and atoms, written as extended XYZ:
```
4
Lattice="-0.738 -0.856 2.482 -0.241 -3.399 -1.244 5.242 -0.836 1.270" Properties=species:S:1:pos:R:3 pbc="T T T"
Rh 3.518 -2.767 1.590
Cr 0.738 -2.323 0.917
Mo 2.563 -0.409 0.621
Cr 0.065 -0.010 0.016
```

Properties
* calculated total energy: -9.197 eV/atom
* energy of formation: 160 meV per atom
* volume: 54.0 Å³ per cell

Record 22
La2Pm8Sm | PBE | relaxed

Cell and atoms, written as extended XYZ:
```
11
Lattice="-2.309 2.014 4.192 -0.118 -7.421 3.501 9.261 2.824 0.529" Properties=species:S:1:pos:R:3 pbc="T T T"
Sm -1.155 1.007 2.096
Pm 0.633 -5.061 2.780
La 3.606 -2.984 3.420
Pm 4.660 -2.300 6.888
La 3.227 0.401 4.801
Pm 2.173 -0.283 1.333
Pm 1.675 -4.340 6.224
Pm 5.159 1.757 1.997
Pm 6.201 2.478 5.441
Pm 0.250 -1.669 4.155
Pm 6.583 -0.914 4.066
```

Properties
* calculated total energy: -4.763 eV/atom
* energy of formation: 17 meV per atom
* volume: 384.0 Å³ per cell
* relative energy among the computed polymorphs: 0 meV/atom